Entry from Alexandria: a geometry-optimized KBeCr structure (PBE).

```
KBeCr
1.0
5.1919 0.0000 0.0000
2.5959 4.4963 0.0000
2.5959 1.4988 4.2392
Cr K Be
1 1 1
Cartesian
5.1919 2.9975 2.1196 Cr
7.7878 4.4963 3.1794 K
0.0000 0.0000 0.0000 Be
```

Computed properties:
- Formation energy from the elements: 1894 meV/atom
- Electronic total energy: -8.76 eV for the cell shown
- Excess energy over the best structure of this formula in the dataset: 1.044 eV/atom

Entry from Alexandria: a geometry-optimized FeNiAsPb2 structure (PBE).

```
FeNiAsPb2
1.0
5.6606 0.0000 0.0000
0.0000 4.2627 0.0000
0.0000 0.0000 5.6606
Pb Ni As Fe
2 1 1 1
Cartesian
0.0000 0.0000 2.8303 Pb
2.8303 0.0000 0.0000 Pb
0.0000 2.1313 0.0000 Ni
0.0000 0.0000 0.0000 As
2.8303 2.1313 2.8303 Fe
```

Computed properties:
- Formation energy from the elements: 870 meV/atom
- Electronic total energy: -21.96 eV for the cell shown

Entry from Alexandria: a geometry-optimized Pm4Ho3Th structure (PBE).

```
Pm4Ho3Th
1.0
3.4361 0.0000 -0.4335
-0.1749 6.6827 -1.3862
-0.2481 -0.9806 11.8673
Ho Th Pm
3 1 4
Cartesian
-0.0875 3.3414 -0.6931 Ho
0.2053 5.6620 1.6269 Ho
2.8079 0.0400 8.4206 Ho
1.7181 0.0000 -0.2168 Th
2.3867 1.0999 5.0828 Pm
0.6264 4.6022 4.9647 Pm
0.2949 2.1839 2.3370 Pm
2.7183 3.5182 7.7106 Pm
```

Computed properties:
- Formation energy from the elements: 172 meV/atom
- Electronic total energy: -38.78 eV for the cell shown
- Excess energy over the best structure of this formula in the dataset: 0.142 eV/atom

Entry from Alexandria: a geometry-optimized MnNi2H2 structure (PBE).

```
MnNi2H2
1.0
-0.2147 -1.6675 -1.9821
3.3307 -2.0210 1.3395
-3.8575 -1.2462 1.4662
Mn Ni H
1 2 2
Cartesian
-0.6349 -3.4103 2.2561 Mn
0.7480 -1.9627 0.8884 Ni
-1.5784 -2.4585 -0.1467 Ni
-2.2549 -2.1172 1.3437 H
1.7099 -3.1878 0.1108 H
```

Computed properties:
- Electronic total energy: -27.30 eV for the cell shown
- Excess energy over the best structure of this formula in the dataset: 0.000 eV/atom

Entry from Alexandria: a geometry-optimized PrPuGaO6 structure (PBE).

```
PrPuGaO6
1.0
-1.7351 2.6317 -4.3180
2.6117 -4.6308 -0.5622
-9.0687 -5.1742 0.4905
Pr Pu Ga O
2 2 2 12
Cartesian
0.0000 0.0000 0.0000 Pr
-4.5344 -2.5871 0.2452 Pr
-1.1044 -3.5035 -1.6915 Pu
-7.0877 -3.6698 -2.6982 Pu
-2.5533 -1.0827 -2.9435 Ga
-5.6388 -6.0906 -1.4463 Ga
-0.7427 -1.9886 -3.0671 O
-2.0800 0.2274 -4.4180 O
-3.8479 -6.9819 -1.7824 O
-6.1120 -7.4007 0.0282 O
-2.9460 -2.5459 -1.5947 O
-3.3066 -2.1864 -4.4695 O
-6.2917 -7.3621 -2.8856 O
-4.3441 -0.1914 -2.6074 O
-4.8855 -4.9869 0.0797 O
-1.9004 0.1888 -1.5042 O
-5.2460 -4.6275 -2.7951 O
-7.4494 -5.1847 -1.3227 O
```

Computed properties:
- Electronic total energy: -149.23 eV for the cell shown

Entry from Alexandria: a geometry-optimized NaDyMgGa structure (PBE).

```
NaDyMgGa
1.0
-2.6463 4.2221 0.7498
-3.0683 1.7241 -3.6061
-4.9954 -0.2339 0.6181
Na Mg Ga Dy
1 1 1 1
Cartesian
-8.0326 4.2842 -1.6786 Na
-5.3551 2.8562 -1.1191 Mg
-2.6775 1.4281 -0.5595 Ga
0.0000 0.0000 0.0000 Dy
```

Computed properties:
- Formation energy from the elements: -107 meV/atom
- Electronic total energy: -10.97 eV for the cell shown